VASP calculation (PBE) on SmZnAu2 after structural relaxation.

Geometry as extended XYZ:
```
16
Lattice="7.0038 0.0000 0.0000 0.0000 4.6032 0.0000 0.0000 0.0000 10.2824" Properties=species:S:1:pos:R:3 pbc="T T T"
Sm 1.7116 1.1508 1.6567
Sm 1.7903 3.4524 6.7979
Sm 5.2135 1.1508 3.4845
Sm 5.2922 3.4524 8.6257
Zn 0.5109 1.1508 8.8964
Zn 2.9909 3.4524 3.7552
Zn 4.0128 1.1508 6.5272
Zn 6.4928 3.4524 1.3860
Au 0.3181 3.4524 3.8566
Au 1.4904 3.4524 9.8468
Au 2.0115 1.1508 4.7056
Au 3.1837 1.1508 8.9977
Au 3.8200 3.4524 1.2846
Au 4.9923 3.4524 5.5768
Au 5.5134 1.1508 0.4356
Au 6.6856 1.1508 6.4258
```

- Energy of formation: -0.639 eV per atom
- Total DFT energy (no corrections): -60.4 eV/cell
- Symmetry: No. 62
- Fermi-level density of states: 0.65 states/eV per atom